DFT (PBE-GGA) results for an optimized crystal structure of CoPb2.

Cell lengths 4.699, 4.699, 3.258 Å; angles 90.00, 90.00, 90.00 degrees
Site moments in Bohr magnetons follow the coordinates.
Positions (direct):
Co 0.000 0.000 0.000  1.17
Pb 0.000 0.500 0.500  0.01
Pb 0.500 0.000 0.500  0.01

Computed properties:
ΔE_f   1.4 eV/f.u.
DFT total energy   -4.385 eV/atom